# 1
The following is a DFT calculation (SCAN) of a crystal of Sc2AgBr relaxed with PBEsol.

Unit cell a=3.863 b=3.872 c=5.614 alpha=90.11 beta=90.00 gamma=90.00
Fractional coordinates of all 4 atoms:
Br: 0.000 0.000 0.500
Sc: 0.500 0.500 0.500
Sc: 0.000 0.000 0.000
Ag: 0.500 0.500 0.000

Calculated values
Energy above the lowest structure with this stoichiometry   9 meV per atom
DFT total energy   -0.748 hartree per atom
Crystal system   monoclinic
Symmetry   P2/m (10)

=====

# 2
The following is a DFT calculation (SCAN) of a crystal of Sc2AgBr relaxed with PBEsol.

Unit cell a=4.837 b=4.837 c=4.837 alpha=60.00 beta=60.00 gamma=60.00
Fractional coordinates of all 4 atoms:
Sc: 0.250 0.250 0.250
Sc: 0.750 0.750 0.750
Br: 0.500 0.500 0.500
Ag: 0.000 0.000 0.000

Calculated values
Energy above the lowest structure with this stoichiometry   282 meV per atom
DFT total energy   -0.738 hartree per atom
Crystal system   cubic
Symmetry   Fm-3m (225)

=====

# 3
The following is a DFT calculation (SCAN) of a crystal of ScAgBr3 relaxed with PBEsol.

Unit cell a=5.225 b=5.225 c=5.225 alpha=90.00 beta=90.00 gamma=90.00
Fractional coordinates of all 5 atoms:
Br: 0.000 0.500 0.000
Br: 0.500 0.000 0.000
Br: 0.000 0.000 0.500
Ag: 0.000 0.000 0.000
Sc: 0.500 0.500 0.500

Calculated values
DFT total energy   -0.777 hartree per atom
Crystal system   cubic
Symmetry   Pm-3m (221)

=====

# 4
The following is a DFT calculation (SCAN) of a crystal of ScAgBr relaxed with PBEsol.

Unit cell a=3.494 b=4.612 c=4.612 alpha=120.00 beta=90.00 gamma=90.00
Fractional coordinates of all 3 atoms:
Sc: 0.000 0.667 0.333
Br: 0.000 0.333 0.667
Ag: 0.500 0.000 0.000

Calculated values
DFT total energy   -0.809 hartree per atom
Crystal system   hexagonal
Symmetry   P-6m2 (187)

=====

# 5
The following is a DFT calculation (SCAN) of a crystal of ScAgSeBr2 relaxed with PBEsol.

Unit cell a=5.056 b=5.056 c=5.173 alpha=90.00 beta=90.00 gamma=90.00
Fractional coordinates of all 5 atoms:
Se: 0.000 0.000 0.500
Sc: 0.500 0.500 0.500
Ag: 0.000 0.000 0.000
Br: 0.000 0.500 0.000
Br: 0.500 0.000 0.000

Calculated values
DFT total energy   -0.777 hartree per atom
Crystal system   tetragonal
Symmetry   P4/mmm (123)

=====

# 6
The following is a DFT calculation (SCAN) of a crystal of YScAg2Br relaxed with PBEsol.

Unit cell a=5.169 b=5.330 c=5.330 alpha=90.00 beta=90.00 gamma=90.00
Fractional coordinates of all 5 atoms:
Ag: 0.000 0.500 0.000
Ag: 0.000 0.000 0.500
Br: 0.500 0.000 0.000
Y: 0.000 0.000 0.000
Sc: 0.500 0.500 0.500

Calculated values
DFT total energy   -0.901 hartree per atom
Crystal system   tetragonal
Symmetry   P4/mmm (123)

=====

# 7
The following is a DFT calculation (SCAN) of a crystal of AgSe2Br2 relaxed with PBEsol.

Unit cell a=5.652 b=5.652 c=5.652 alpha=95.72 beta=116.75 gamma=116.75
Fractional coordinates of all 5 atoms:
Br: 0.500 0.750 0.250
Br: 0.500 0.250 0.750
Se: 0.000 0.642 0.642
Se: 0.000 0.358 0.358
Ag: 0.000 0.000 0.000

Calculated values
DFT total energy   -0.799 hartree per atom
Crystal system   tetragonal
Symmetry   I4/mmm (139)

=====

# 8
The following is a DFT calculation (SCAN) of a crystal of Ag2SeBr relaxed with PBEsol.

Unit cell a=3.342 b=3.342 c=7.169 alpha=90.00 beta=90.00 gamma=90.00
Fractional coordinates of all 4 atoms:
Br: 0.500 0.500 0.000
Ag: 0.000 0.000 0.275
Ag: 0.000 0.000 0.725
Se: 0.500 0.500 0.500

Calculated values
Energy above the lowest structure with this stoichiometry   201 meV per atom
DFT total energy   -0.938 hartree per atom
Crystal system   tetragonal
Symmetry   P4/mmm (123)